Arrangement P

A plane-wave DFT calculation with PBE was carried out for crystalline CsGe3Br at its relaxed geometry.

The structure belongs to space group Pm-3m (No. 221); the cell edges are 5.490, 5.490 and 5.490 Å and the angles 90.00°, 90.00° and 90.00°. Symmetry generates all atoms from Cs at (0.000, 0.000, 0.000), Ge at (0.000, 0.500, 0.500) and Br at (0.500, 0.500, 0.500).

As for the density of states at the Fermi level: 0.873 states/eV per atom.



Arrangement Q

A plane-wave DFT calculation with PBE was carried out for crystalline CsGe3Br at its relaxed geometry.

The structure belongs to space group Pm-3m (No. 221); the cell edges are 5.980, 5.980 and 5.980 Å and the angles 90.00°, 90.00° and 90.00°. Symmetry generates all atoms from Cs at (0.000, 0.000, 0.000), Ge at (0.000, 0.000, 0.500) and Br at (0.500, 0.500, 0.500).

As for the density of states at the Fermi level: 1.755 states/eV per atom.



Relative to the most stable structure, the computed energies are arrangement P 0.0; arrangement Q 97.1, all in kJ/mol of atoms.



Arrangement P

A plane-wave DFT calculation with PBE was carried out for crystalline CsGe4Br8 at its relaxed geometry.

The structure belongs to space group F-43m (No. 216); the cell edges are 12.651, 12.651 and 12.651 Å and the angles 90.00°, 90.00° and 90.00°. Symmetry generates all atoms from Cs at (0.000, 0.000, 0.000), Ge at (0.121, 0.121, 0.621), Br at (0.108, 0.108, 0.392) and Br at (0.150, 0.150, 0.850).

As for the density of states at the Fermi level: 0.385 states/eV per atom.



Arrangement Q

A plane-wave DFT calculation with PBE was carried out for crystalline CsGe4Br8 at its relaxed geometry.

The structure belongs to space group C2/m (No. 12); the cell edges are 15.087, 8.272 and 11.240 Å and the angles 90.00°, 130.33° and 90.00°. Symmetry generates all atoms from Cs at (0.000, 0.000, 0.000), Ge at (0.000, 0.254, 0.500), Ge at (0.242, 0.500, 0.482), Br at (0.002, 0.000, 0.674), Br at (0.003, 0.500, 0.680) and Br at (0.247, 0.258, 0.320).

As for the density of states at the Fermi level: 0.197 states/eV per atom.



Relative to the most stable structure, the computed energies are arrangement P 6.4; arrangement Q 0.0, all in kJ/mol of atoms.



Arrangement P

A plane-wave DFT calculation with PBE was carried out for crystalline CsGe2Br5 at its relaxed geometry.

The structure belongs to space group Cmcm (No. 63); the cell edges are 5.692, 12.984 and 15.170 Å and the angles 90.00°, 90.00° and 90.00°. Symmetry generates all atoms from Cs at (0.000, 0.015, 0.250), Ge at (0.000, 0.360, 0.063), Br at (0.000, 0.156, 0.550), Br at (0.000, 0.312, 0.250) and Br at (0.000, 0.443, 0.608).

As for the density of states at the Fermi level: 0.000 states/eV per atom.



Arrangement Q

A plane-wave DFT calculation with PBE was carried out for crystalline CsGe2Br5 at its relaxed geometry.

The structure belongs to space group Immm (No. 71); the cell edges are 4.131, 7.706 and 17.050 Å and the angles 90.00°, 90.00° and 90.00°. Symmetry generates all atoms from Cs at (0.000, 0.000, 0.000), Ge at (0.000, 0.500, 0.156), Br at (0.000, 0.252, 0.349) and Br at (0.000, 0.500, 0.000).

As for the density of states at the Fermi level: 0.000 states/eV per atom.



Relative to the most stable structure, the computed energies are arrangement P 0.0; arrangement Q 4.9, all in kJ/mol of atoms.



Arrangement P

A plane-wave DFT calculation with PBE was carried out for crystalline Cs2GeBr at its relaxed geometry.

The structure belongs to space group I-42d (No. 122); the cell edges are 9.601, 9.601 and 10.958 Å and the angles 90.00°, 90.00° and 90.00°. Symmetry generates all atoms from Cs at (0.229, 0.750, 0.125), Ge at (0.000, 0.000, 0.500) and Br at (0.000, 0.000, 0.000).



Arrangement Q

A plane-wave DFT calculation with PBE was carried out for crystalline Cs2GeBr at its relaxed geometry.

The structure belongs to space group Fm-3m (No. 225); the cell edges are 9.046, 9.046 and 9.046 Å and the angles 90.00°, 90.00° and 90.00°. Symmetry generates all atoms from Cs at (0.250, 0.250, 0.250), Ge at (0.000, 0.000, 0.000) and Br at (0.000, 0.000, 0.500).

As for the density of states at the Fermi level: 0.000 states/eV per atom.



Relative to the most stable structure, the computed energies are arrangement P 4.3; arrangement Q 0.0, all in kJ/mol of atoms.